Entry from Alexandria via LeMat-Bulk: a relaxed structure of CsZnTeI2 (PBE-GGA).

Results
**Magnetic moment**: 0.9 μB/f.u.
**SG**: P4/mmm (123)
**Density of states at the Fermi level**: 0.8071 states/eV/atom
**E**: -0.165 Ry/atom

Cell lengths 6.066, 6.066, 5.350 Å; angles 90.00, 90.00, 90.00 degrees
Atoms (fractional coordinates):
Cs 0.000 0.000 0.000
Zn 0.500 0.500 0.500
Te 0.500 0.500 0.000
I 0.000 0.500 0.500
I 0.500 0.000 0.500